(1)
LiMoAu3S4: relaxed, PBE.

```
9
Lattice="5.942 0.000 0.000 0.000 5.942 0.000 0.000 0.000 5.942" Properties=species:S:1:pos:R:3 pbc="T T T"
S 4.355 1.587 4.355
S 1.587 1.587 1.587
S 1.587 4.355 4.355
S 4.355 4.355 1.587
Mo 2.971 2.971 2.971
Au 2.971 0.000 2.971
Au 2.971 2.971 0.000
Au 0.000 2.971 2.971
Li 0.000 0.000 0.000
```

Space-group type = No. 215
Uncorrected energy = -4.465 eV per atom

(2)
LiTeMoAuS2: relaxed, PBE.

```
12
Lattice="1.700 -6.953 0.000 1.700 6.953 0.000 0.000 0.000 10.308" Properties=species:S:1:pos:R:3 pbc="T T T"
S 1.700 5.185 0.312
S 1.700 5.185 4.842
S 1.700 -5.185 5.466
S 1.700 -5.185 9.995
Mo 1.700 0.000 5.154
Mo 1.700 0.000 0.000
Au 1.700 5.846 2.577
Au 1.700 -5.846 7.731
Li 1.700 3.187 7.731
Li 1.700 -3.187 2.577
Te 1.700 1.382 2.577
Te 1.700 -1.382 7.731
```

Space-group type = No. 63
Uncorrected energy = -4.875 eV per atom

(3)
LiMoAuSe3: relaxed, PBE.

```
12
Lattice="-3.844 5.949 -1.800 -5.255 3.466 -3.712 -6.650 -2.018 7.531" Properties=species:S:1:pos:R:3 pbc="T T T"
Mo -3.325 -1.009 3.766
Mo 0.000 0.000 0.000
Se -5.883 5.977 -3.420
Se -6.707 2.379 1.861
Se -9.043 5.018 0.158
Se -5.455 -1.030 5.365
Se -10.295 8.428 -3.346
Se -9.867 1.420 5.439
Li -4.410 2.338 0.219
Li -11.340 5.059 1.801
Au -7.585 5.623 -1.705
Au -8.165 1.774 3.724
```

Space-group type = No. 63
Uncorrected energy = -4.747 eV per atom

(4)
LiMoAu3Se4: relaxed, PBE.

```
9
Lattice="6.165 0.000 0.000 0.000 6.165 0.000 0.000 0.000 6.165" Properties=species:S:1:pos:R:3 pbc="T T T"
Se 4.540 1.625 4.540
Se 4.540 4.540 1.625
Se 1.625 1.625 1.625
Se 1.625 4.540 4.540
Au 0.000 3.082 3.082
Au 3.082 3.082 0.000
Au 3.082 0.000 3.082
Li 0.000 0.000 0.000
Mo 3.082 3.082 3.082
```

Space-group type = No. 215
Uncorrected energy = -4.186 eV per atom

(5)
LiTe2MoAuSe: relaxed, PBE.

```
12
Lattice="1.952 -7.076 0.000 1.952 7.076 0.000 0.000 0.000 10.314" Properties=species:S:1:pos:R:3 pbc="T T T"
Mo 1.952 0.000 0.000
Mo 1.952 0.000 5.157
Te 1.952 -5.051 5.265
Te 1.952 5.051 0.108
Te 1.952 5.051 5.049
Te 1.952 -5.051 10.206
Li 1.952 3.002 7.736
Li 1.952 -3.002 2.579
Au 1.952 6.079 2.579
Au 1.952 -6.079 7.736
Se 1.952 0.894 2.579
Se 1.952 -0.894 7.736
```

Space-group type = No. 63
Uncorrected energy = -4.439 eV per atom

(6)
LiTeMoAuSe2: relaxed, PBE.

```
12
Lattice="1.768 -6.901 0.000 1.768 6.901 0.000 0.000 0.000 10.354" Properties=species:S:1:pos:R:3 pbc="T T T"
Te 1.768 5.452 2.589
Te 1.768 -5.452 7.766
Au 1.768 -0.807 7.766
Au 1.768 0.807 2.589
Li 1.768 3.952 7.766
Li 1.768 -3.952 2.589
Se 1.768 -1.906 10.016
Se 1.768 1.906 4.838
Se 1.768 1.906 0.339
Se 1.768 -1.906 5.516
Mo 0.000 0.000 5.177
Mo 0.000 0.000 0.000
```

Space-group type = No. 63
Uncorrected energy = -4.610 eV per atom

(7)
Li3AuN: relaxed, PBE.

```
5
Lattice="-0.368 1.676 -3.565 -0.119 -3.583 -1.672 -3.937 -0.048 0.384" Properties=species:S:1:pos:R:3 pbc="T T T"
Li -0.243 -0.954 -2.618
Li -2.152 0.814 -1.591
Li -2.028 -1.816 -0.644
N -2.212 -0.978 -2.427
Au 0.000 0.000 0.000
```

Space-group type = No. 221
Uncorrected energy = -3.688 eV per atom

(8)
LiAuNO: relaxed, PBE.

```
8
Lattice="-0.170 3.245 -2.879 -3.424 -1.870 -1.905 -2.676 2.206 2.644" Properties=species:S:1:pos:R:3 pbc="T T T"
Au -2.322 3.069 -1.314
Au -3.948 0.512 -0.827
O -0.984 1.966 -2.636
O -2.610 -0.591 -2.149
Li -5.367 3.233 -0.948
Li -0.903 0.347 -1.192
N -4.020 2.123 -2.279
N -2.250 1.457 0.139
```

Space-group type = No. 129
Uncorrected energy = -4.375 eV per atom

(9)
LiAuNO: relaxed, PBE.

```
16
Lattice="-3.719 2.425 2.423 -2.362 -5.698 2.078 3.040 0.323 4.343" Properties=species:S:1:pos:R:3 pbc="T T T"
Li -1.336 -0.939 4.245
Li -1.622 0.400 7.592
Li 0.093 -3.188 3.411
Li -0.192 -1.849 6.759
N -3.194 -4.101 3.025
N -3.267 1.420 2.665
N -0.841 -4.483 4.653
N -0.914 1.039 4.293
Au -2.870 1.510 4.639
Au 0.877 -4.348 5.700
Au 0.508 0.460 5.600
Au -2.501 -3.298 4.739
O -3.901 -1.675 4.202
O 0.600 -1.302 4.270
O -1.963 -1.786 6.101
O -1.338 -1.191 2.371
```

Space-group type = No. 29
Uncorrected energy = -4.441 eV per atom

(10)
LiAuNO: relaxed, PBE.

```
8
Lattice="2.626 -2.113 0.000 2.626 2.113 0.000 -0.480 0.000 8.122" Properties=species:S:1:pos:R:3 pbc="T T T"
N 1.744 0.000 1.187
N 4.117 0.000 3.994
Li 2.800 -1.032 5.247
Li 2.800 1.032 5.247
Au 3.993 0.000 0.755
Au 0.679 0.000 2.968
O 1.477 -0.698 6.544
O 1.477 0.698 6.544
```

Space-group type = No. 8
Uncorrected energy = -4.151 eV per atom

(11)
LiAuNO: relaxed, PBE.

```
8
Lattice="-0.405 -0.111 -3.551 -3.502 -0.584 0.417 -1.112 6.614 -0.081" Properties=species:S:1:pos:R:3 pbc="T T T"
O -2.728 -0.466 -0.575
O -1.179 -0.229 -2.559
Au -3.825 4.800 -2.415
Au -1.194 1.118 -0.799
Li -1.735 3.077 -2.599
Li -3.284 2.841 -0.615
N -1.691 4.075 -0.835
N -3.328 1.843 -2.379
```

Space-group type = No. 129
Uncorrected energy = -3.650 eV per atom

(12)
LiAuNO: relaxed, PBE.

```
8
Lattice="-1.563 -2.707 0.000 0.000 0.000 5.490 -4.847 2.798 0.000" Properties=species:S:1:pos:R:3 pbc="T T T"
Au -1.391 0.803 2.973
Au -3.456 1.995 0.228
Li -4.726 0.924 2.761
Li -1.684 -0.832 0.016
N -2.976 1.718 2.091
N -1.871 1.080 4.836
O -5.109 1.145 4.549
O -1.301 -1.054 1.804
```

Space-group type = No. 26
Uncorrected energy = -4.261 eV per atom